Entry from the Alexandria database: an optimized crystal structure of CrRu2Br (GGA-PBE).

Cell lengths 2.9538, 2.9538, 7.3569 Å; angles 90.00, 90.00, 90.00 degrees
Closest atoms and distances in Å follow each position.
Sites, in units of the cell vectors:
Cr (0.0000, 0.0000, 0.0000)  4 Ru 2.77, 4 Br 2.82, 4 Cr 2.95
Ru (0.0000, 0.0000, 0.4599)  4 Ru 2.61
Ru (0.5000, 0.5000, 0.2480)  4 Ru 2.61, 4 Cr 2.77
Br (0.5000, 0.5000, 0.7434)  4 Cr 2.82, 4 Ru 2.95, 4 Br 2.95

Values from the calculation:
The calculation puts the formation energy without anion corrections at 56.2 kJ/mol of atoms. As for the symmetry: P4mm. The value obtained for the energy is -27.52 eV for the cell shown.